VASP calculation (PBE with a Hubbard U) on Mn2ReF after structural relaxation.

```
data_Mn2ReF
_space_group_name_H-M_alt 'P 1'
_space_group_IT_number 1
_cell_length_a 4.474
_cell_length_b 4.474
_cell_length_c 4.474
_cell_angle_alpha 60.00
_cell_angle_beta 60.00
_cell_angle_gamma 60.00
loop_
_space_group_symop_operation_xyz
'x,y,z'
loop_
_atom_site_label
_atom_site_type_symbol
_atom_site_fract_x
_atom_site_fract_y
_atom_site_fract_z
Re1 Re 0.500 0.500 0.500
Mn1 Mn 0.250 0.250 0.250
Mn2 Mn 0.750 0.750 0.750
F1 F 0.000 0.000 0.000
```

Values from the calculation:
The value obtained for the total DFT energy (no corrections) is -27.300 eV per cell. As for the symmetry: Fm-3m (225). Its total moment is 6.7 μB per formula unit.